# VP | Alexandria | PBE | relaxed
data_VP
_chemical_formula_sum 'V2 P2'
_symmetry_space_group_name_H-M 'P 63/m m c'
_symmetry_Int_Tables_number 194
_symmetry_space_group_name_Hall '-P 6c 2c'
_cell_length_a 3.1345
_cell_length_b 3.1345
_cell_length_c 6.2755
_cell_angle_alpha 90.00
_cell_angle_beta 90.00
_cell_angle_gamma 120.00
loop_
_atom_site_label
_atom_site_fract_x
_atom_site_fract_y
_atom_site_fract_z
V1 0.0000 0.0000 0.0000
P1 0.3333 0.6667 0.2500
# Crystal system ... hexagonal
# E_tot ... -8.08 eV/atom
# Fermi-level density of states ... 2.52 states/eV/cell



# Ba2CeHg4 | Alexandria | PBE | relaxed
data_Ba2CeHg4
_chemical_formula_sum 'Ba4 Ce2 Hg8'
_symmetry_space_group_name_H-M 'I 4/m m m'
_symmetry_Int_Tables_number 139
_symmetry_space_group_name_Hall '-I 4 2'
_cell_length_a 5.747
_cell_length_b 5.747
_cell_length_c 14.947
_cell_angle_alpha 90.00
_cell_angle_beta 90.00
_cell_angle_gamma 90.00
loop_
_atom_site_label
_atom_site_fract_x
_atom_site_fract_y
_atom_site_fract_z
Ba1 0.000 0.000 0.226
Ce1 0.000 0.000 0.500
Hg1 0.000 0.500 0.103
# Crystal system ... tetragonal
# E_tot ... -1.89 eV/atom
# Fermi-level density of states ... 27.62 states/eV/cell



# HfReSi | Alexandria | PBE | relaxed
data_HfReSi
_chemical_formula_sum 'Hf2 Re2 Si2'
_symmetry_space_group_name_H-M 'P 1 21/m 1'
_symmetry_Int_Tables_number 11
_symmetry_space_group_name_Hall '-P 2yb'
_cell_length_a 3.806
_cell_length_b 3.859
_cell_length_c 6.857
_cell_angle_alpha 90.00
_cell_angle_beta 90.73
_cell_angle_gamma 90.00
loop_
_atom_site_label
_atom_site_fract_x
_atom_site_fract_y
_atom_site_fract_z
Hf1 0.243 0.250 0.346
Re1 0.220 0.750 0.000
Si1 0.270 0.250 0.749
# Crystal system ... monoclinic
# Uncorrected formation energy ... -11.71 kcal/mol of atoms
# Fermi-level density of states ... 5.11 states/eV/cell



# TlFeRe2Pb | Alexandria | PBE | relaxed
data_TlFeRe2Pb
_chemical_formula_sum 'Tl1 Fe1 Re2 Pb1'
_symmetry_space_group_name_H-M 'P 4/m m m'
_symmetry_Int_Tables_number 123
_symmetry_space_group_name_Hall '-P 4 2'
_cell_length_a 5.078
_cell_length_b 5.078
_cell_length_c 5.562
_cell_angle_alpha 90.00
_cell_angle_beta 90.00
_cell_angle_gamma 90.00
loop_
_atom_site_label
_atom_site_fract_x
_atom_site_fract_y
_atom_site_fract_z
Tl1 0.000 0.000 0.000
Fe1 0.500 0.500 0.000
Re1 0.000 0.500 0.500
Pb1 0.000 0.000 0.500
# Crystal system ... tetragonal
# E_tot ... -4.66 eV/atom
# Fermi-level density of states ... 7.17 states/eV/cell



# HoThReTc | Alexandria | PBE | relaxed
data_HoThReTc
_chemical_formula_sum 'Ho4 Th4 Re4 Tc4'
_symmetry_space_group_name_H-M 'F -4 3 m'
_symmetry_Int_Tables_number 216
_symmetry_space_group_name_Hall 'F -4 2 3'
_cell_length_a 6.954
_cell_length_b 6.954
_cell_length_c 6.954
_cell_angle_alpha 90.00
_cell_angle_beta 90.00
_cell_angle_gamma 90.00
loop_
_atom_site_label
_atom_site_fract_x
_atom_site_fract_y
_atom_site_fract_z
Ho1 0.000 0.000 0.000
Th1 0.000 0.000 0.500
Re1 0.250 0.250 0.250
Tc1 0.250 0.250 0.750
# Crystal system ... cubic
# E_tot ... -8.59 eV/atom
# Fermi-level density of states ... 20.31 states/eV/cell



# Ba3HfPt | Alexandria | PBE | relaxed
data_Ba3HfPt
_chemical_formula_sum 'Ba3 Hf1 Pt1'
_symmetry_space_group_name_H-M 'P m -3 m'
_symmetry_Int_Tables_number 221
_symmetry_space_group_name_Hall '-P 4 2 3'
_cell_length_a 6.119
_cell_length_b 6.119
_cell_length_c 6.119
_cell_angle_alpha 90.00
_cell_angle_beta 90.00
_cell_angle_gamma 90.00
loop_
_atom_site_label
_atom_site_fract_x
_atom_site_fract_y
_atom_site_fract_z
Ba1 0.000 0.000 0.500
Hf1 0.500 0.500 0.500
Pt1 0.000 0.000 0.000
# Crystal system ... cubic
# Relative energy among the computed polymorphs ... 0 meV/atom
# Fermi-level density of states ... 10.51 states/eV/cell



# NdGdMgZn | Alexandria | PBE | relaxed
data_NdGdMgZn
_chemical_formula_sum 'Nd4 Gd4 Mg4 Zn4'
_symmetry_space_group_name_H-M 'F -4 3 m'
_symmetry_Int_Tables_number 216
_symmetry_space_group_name_Hall 'F -4 2 3'
_cell_length_a 7.484
_cell_length_b 7.484
_cell_length_c 7.484
_cell_angle_alpha 90.00
_cell_angle_beta 90.00
_cell_angle_gamma 90.00
loop_
_atom_site_label
_atom_site_fract_x
_atom_site_fract_y
_atom_site_fract_z
Nd1 0.000 0.000 0.000
Gd1 0.000 0.000 0.500
Mg1 0.250 0.250 0.250
Zn1 0.250 0.250 0.750
# Crystal system ... cubic
# E_tot ... -5.62 eV/atom
# Fermi-level density of states ... 15.28 states/eV/cell



# La6Rh2CCl3 | Alexandria | PBE | relaxed
data_La6Rh2CCl3
_chemical_formula_sum 'La12 Rh4 C2 Cl6'
_symmetry_space_group_name_H-M 'C 1 2/m 1'
_symmetry_Int_Tables_number 12
_symmetry_space_group_name_Hall '-C 2y'
_cell_length_a 7.103
_cell_length_b 12.265
_cell_length_c 7.875
_cell_angle_alpha 90.00
_cell_angle_beta 107.42
_cell_angle_gamma 90.00
loop_
_atom_site_label
_atom_site_fract_x
_atom_site_fract_y
_atom_site_fract_z
La1 0.221 0.156 0.198
La2 0.247 0.000 0.801
Rh1 0.000 0.333 0.000
C1 0.000 0.000 0.000
Cl1 0.000 0.164 0.500
Cl2 0.000 0.500 0.500
# Crystal system ... monoclinic
# Uncorrected formation energy ... -26.30 kcal/mol of atoms
# Fermi-level density of states ... 22.72 states/eV/cell



# Tm2ScAu | Alexandria | PBE | relaxed
data_Tm2ScAu
_chemical_formula_sum 'Tm2 Sc1 Au1'
_symmetry_space_group_name_H-M 'P 4/m m m'
_symmetry_Int_Tables_number 123
_symmetry_space_group_name_Hall '-P 4 2'
_cell_length_a 4.908
_cell_length_b 4.908
_cell_length_c 3.994
_cell_angle_alpha 90.00
_cell_angle_beta 90.00
_cell_angle_gamma 90.00
loop_
_atom_site_label
_atom_site_fract_x
_atom_site_fract_y
_atom_site_fract_z
Tm1 0.000 0.500 0.000
Sc1 0.000 0.000 0.500
Au1 0.500 0.500 0.500
# Crystal system ... tetragonal
# Relative energy among the computed polymorphs ... 118 meV/atom
# Fermi-level density of states ... 5.06 states/eV/cell



# Tb5DyY2Er | Alexandria | PBE | relaxed
data_Tb5DyY2Er
_chemical_formula_sum 'Tb20 Dy4 Y8 Er4'
_symmetry_space_group_name_H-M 'C m c 21'
_symmetry_Int_Tables_number 36
_symmetry_space_group_name_Hall 'C 2c -2'
_cell_length_a 5.605
_cell_length_b 19.877
_cell_length_c 10.591
_cell_angle_alpha 90.00
_cell_angle_beta 90.00
_cell_angle_gamma 90.00
loop_
_atom_site_label
_atom_site_fract_x
_atom_site_fract_y
_atom_site_fract_z
Tb1 0.000 0.019 0.000
Tb2 0.000 0.282 0.284
Tb3 0.000 0.299 0.683
Tb4 0.000 0.391 0.999
Tb5 0.000 0.480 0.716
Dy1 0.000 0.201 0.986
Y1 0.000 0.110 0.713
Y2 0.000 0.114 0.295
Er1 0.000 0.412 0.435
# Crystal system ... orthorhombic
# E_tot ... -4.88 eV/atom
# Fermi-level density of states ... 59.70 states/eV/cell



# Sc2GaTe2 | Alexandria | PBE | relaxed
data_Sc2GaTe2
_chemical_formula_sum 'Sc4 Ga2 Te4'
_symmetry_space_group_name_H-M 'P 4/m b m'
_symmetry_Int_Tables_number 127
_symmetry_space_group_name_Hall '-P 4 2ab'
_cell_length_a 8.134
_cell_length_b 8.134
_cell_length_c 3.738
_cell_angle_alpha 90.00
_cell_angle_beta 90.00
_cell_angle_gamma 90.00
loop_
_atom_site_label
_atom_site_fract_x
_atom_site_fract_y
_atom_site_fract_z
Sc1 0.143 0.357 0.000
Ga1 0.000 0.000 0.500
Te1 0.150 0.650 0.500
# Crystal system ... tetragonal
# Relative energy among the computed polymorphs ... 107 meV/atom
# Uncorrected formation energy ... -14.92 kcal/mol of atoms
# Fermi-level density of states ... 12.26 states/eV/cell



# Pu3MnGa12 | Alexandria | PBE | relaxed
data_Pu3MnGa12
_chemical_formula_sum 'Pu3 Mn1 Ga12'
_symmetry_space_group_name_H-M 'P 4/m m m'
_symmetry_Int_Tables_number 123
_symmetry_space_group_name_Hall '-P 4 2'
_cell_length_a 4.199
_cell_length_b 4.199
_cell_length_c 16.121
_cell_angle_alpha 90.00
_cell_angle_beta 90.00
_cell_angle_gamma 90.00
loop_
_atom_site_label
_atom_site_fract_x
_atom_site_fract_y
_atom_site_fract_z
Pu1 0.000 0.000 0.000
Pu2 0.000 0.000 0.268
Mn1 0.000 0.000 0.500
Ga1 0.000 0.500 0.136
Ga2 0.000 0.500 0.396
Ga3 0.500 0.500 0.000
Ga4 0.500 0.500 0.262
Ga5 0.500 0.500 0.500
# Crystal system ... tetragonal
# E_tot ... -5.54 eV/atom
# Fermi-level density of states ... 30.02 states/eV/cell